The following is a PBE-GGA calculation of an optimized crystal structure of K2SrTlIn, from Alexandria via LeMat-Bulk.

abc: 6.694 6.694 9.726
angles: 123.70 123.70 36.59
Fractional coordinates of all 5 atoms:
K 0.000 0.000 0.000
K 0.158 0.158 0.761
Sr 0.871 0.871 0.303
Tl 0.349 0.349 0.578
In 0.626 0.626 0.398

Energy relative to the elements: -0.102 eV/atom
Space-group type: Cm
Energy above the most stable polymorph in this dataset: 38 meV per atom